# 1
A plane-wave DFT calculation with PBE was carried out for crystalline ErScFe4 at its relaxed geometry.

Cell and atoms, written as POSCAR:
```
ErScFe4
1.0
5.0043 0.0000 0.0000
2.5022 4.3339 0.0000
2.5022 1.4446 4.0860
Sc Fe Er
1 4 1
Direct
0.0000 0.0000 0.0000
0.6253 0.6253 0.1241
0.6253 0.1241 0.6253
0.6253 0.6253 0.6253
0.1241 0.6253 0.6253
0.2500 0.2500 0.2500
```

=====

# 2
A plane-wave DFT calculation with PBE was carried out for crystalline Er2ScFe at its relaxed geometry.

Cell and atoms, written as POSCAR:
```
Er2ScFe
1.0
-0.2534 -2.8824 1.7712
2.7459 -1.2128 -1.5807
4.7382 3.1543 5.8109
Sc Fe Er
1 1 2
Direct
0.5000 0.5000 0.5000
0.5000 0.5000 0.0000
0.0000 0.0000 0.8035
0.0000 0.0000 0.1965
```

Calculated values
Relative energy among the computed polymorphs, meV per atom: 129

=====

# 3
A plane-wave DFT calculation with PBE was carried out for crystalline Er2ScFe at its relaxed geometry.

Cell and atoms, written as POSCAR:
```
Er2ScFe
1.0
-2.4500 0.8042 2.2488
-2.7545 -2.0045 0.3187
2.7188 -5.4609 7.5178
Sc Fe Er
1 1 2
Direct
0.5000 0.5000 0.5000
0.0000 0.0000 0.0000
0.2663 0.2663 0.2011
0.7337 0.7337 0.7989
```

Calculated values
Relative energy among the computed polymorphs, meV per atom: 277

=====

# 4
A plane-wave DFT calculation with PBE was carried out for crystalline Er2ScFe9 at its relaxed geometry.

Cell and atoms, written as POSCAR:
```
Er2ScFe9
1.0
0.5853 0.3595 4.9536
-0.6204 -4.0337 2.8905
7.7694 -2.9885 1.8233
Er Sc Fe
2 1 9
Direct
0.8590 0.8590 0.4231
0.1410 0.1410 0.5769
0.0000 0.0000 0.0000
0.6670 0.6670 0.9990
0.3330 0.3330 0.0010
0.5000 0.5000 0.5000
0.4186 0.4186 0.2431
0.9198 0.4186 0.2431
0.4186 0.9198 0.2431
0.5814 0.5814 0.7569
0.5814 0.0802 0.7569
0.0802 0.5814 0.7569
```

=====

# 5
A plane-wave DFT calculation with PBE was carried out for crystalline Er2ScFe at its relaxed geometry.

Cell and atoms, written as POSCAR:
```
Er2ScFe
1.0
-0.4847 3.3366 5.0431
-2.5437 -5.4330 3.3501
8.2019 -2.3822 2.3643
Er Sc Fe
8 4 4
Direct
0.1734 0.6766 0.0642
0.3266 0.1766 0.4358
0.8266 0.3234 0.5642
0.6734 0.8234 0.9358
0.8266 0.3234 0.9358
0.6734 0.8234 0.5642
0.1734 0.6766 0.4358
0.3266 0.1766 0.0642
0.6392 0.5493 0.2500
0.8608 0.0493 0.2500
0.3608 0.4507 0.7500
0.1392 0.9507 0.7500
0.0150 0.3836 0.2500
0.4850 0.8836 0.2500
0.9850 0.6164 0.7500
0.5150 0.1164 0.7500
```

Calculated values
Relative energy among the computed polymorphs, meV per atom: 0

=====

# 6
A plane-wave DFT calculation with PBE was carried out for crystalline ErScZnFe at its relaxed geometry.

Cell and atoms, written as POSCAR:
```
ErScZnFe
1.0
-1.2923 3.4069 2.9937
1.8345 0.1443 4.3420
3.0518 3.4035 1.1585
Sc Zn Fe Er
1 1 1 1
Direct
0.2500 0.2500 0.2500
0.0000 0.0000 0.0000
0.5000 0.5000 0.5000
0.7500 0.7500 0.7500
```

=====

Number 1: energy of formation -0.19 eV per atom, E -7.646 eV per atom, magnetic moment 5.8 μB/f.u.. Number 2: energy of formation 0.07 eV per atom, E -5.909 eV per atom, magnetic moment 2.1 μB/f.u.. Number 3: energy of formation 0.22 eV per atom, E -5.762 eV per atom, magnetic moment 2.1 μB/f.u.. Number 4: energy of formation -0.09 eV per atom, E -7.729 eV per atom, magnetic moment 16.0 μB/f.u.. Number 5: energy of formation -0.06 eV per atom, E -6.039 eV per atom, magnetic moment 0.0 μB/f.u.. Number 6: energy of formation -0.13 eV per atom, E -5.284 eV per atom, magnetic moment 0.8 μB/f.u..